# 1
Computed, not measured: crystalline CuTc3F at its relaxed geometry at the PBE-GGA level of DFT.

Structure (POSCAR):
```
CuTc3F
1.0
4.566 0.000 0.000
0.000 4.566 0.000
0.000 0.000 4.566
Cu Tc F
1 3 1
direct
0.000 0.000 0.000
0.000 0.000 0.500
0.500 0.000 0.000
0.000 0.500 0.000
0.500 0.500 0.500
```

Calculated values
Energy above the most stable polymorph in this dataset in meV/atom: 902

***

# 2
Computed, not measured: crystalline CuTc2F8 at its relaxed geometry at the PBE-GGA level of DFT.

Structure (POSCAR):
```
CuTc2F8
1.0
4.381 -0.285 -0.021
-0.353 4.710 -3.676
-0.043 -0.116 7.217
F Tc Cu
8 2 1
direct
0.761 0.778 0.663
0.239 0.222 0.337
0.279 0.789 0.396
0.241 0.247 0.890
0.721 0.211 0.604
0.759 0.753 0.110
0.760 0.333 0.171
0.240 0.667 0.829
0.235 0.247 0.621
0.765 0.753 0.379
0.000 0.000 0.000
```

Calculated values
Total DFT energy (no corrections) in eV per atom: -5.311

***

# 3
Computed, not measured: crystalline TlCuTcF6 at its relaxed geometry at the PBE-GGA level of DFT.

Structure (POSCAR):
```
TlCuTcF6
1.0
5.705 0.004 0.002
2.856 4.938 -0.001
0.002 -0.003 5.863
F Tc Cu Tl
6 1 1 1
direct
0.357 0.030 0.685
0.030 0.357 0.315
0.031 0.613 0.686
0.613 0.356 0.685
0.613 0.031 0.314
0.356 0.613 0.314
0.333 0.333 0.500
0.667 0.667 0.500
0.000 0.000 0.000
```

Calculated values
Total DFT energy (no corrections) in eV per atom: -4.951

***

# 4
Computed, not measured: crystalline ZnCuTcF2 at its relaxed geometry at the PBE-GGA level of DFT.

Structure (POSCAR):
```
ZnCuTcF2
1.0
3.797 0.000 0.000
0.000 5.689 0.000
0.000 0.000 3.797
F Tc Cu Zn
2 1 1 1
direct
0.500 0.000 0.000
0.000 0.000 0.500
0.000 0.500 0.000
0.000 0.000 0.000
0.500 0.500 0.500
```

Calculated values
Total DFT energy (no corrections) in eV per atom: -4.064

***

# 5
Computed, not measured: crystalline Zr2CuTcF at its relaxed geometry at the PBE-GGA level of DFT.

Structure (POSCAR):
```
Zr2CuTcF
1.0
-2.727 -1.761 -3.861
-0.116 -3.260 1.569
-4.240 1.306 2.399
Zr Tc Cu F
2 1 1 1
direct
0.500 0.000 0.000
0.000 0.000 0.500
0.500 0.500 0.500
0.000 0.000 0.000
0.000 0.500 0.000
```

Calculated values
Total DFT energy (no corrections) in eV per atom: -6.358

***

# 6
Computed, not measured: crystalline Cu2TeF at its relaxed geometry at the PBE-GGA level of DFT.

Structure (POSCAR):
```
Cu2TeF
1.0
-0.097 -1.729 -3.408
3.111 -1.781 -1.330
-0.980 -6.816 1.342
Cu Te F
2 1 1
direct
0.096 0.096 0.713
0.904 0.904 0.287
0.500 0.500 0.500
0.000 0.000 0.000
```

Calculated values
Energy above the most stable polymorph in this dataset in meV/atom: 0

***

# 7
Computed, not measured: crystalline CuTe3F at its relaxed geometry at the PBE-GGA level of DFT.

Structure (POSCAR):
```
CuTe3F
1.0
-1.344 -4.746 -4.100
4.988 -2.253 -5.422
0.202 -3.749 6.717
Te F Cu
6 2 2
direct
0.317 0.953 0.671
0.820 0.276 0.849
0.190 0.662 0.141
0.710 0.051 0.326
0.096 0.312 0.181
0.927 0.661 0.803
0.350 0.359 0.466
0.698 0.686 0.517
0.509 0.985 0.995
0.884 0.056 0.052
```

Calculated values
Energy above the most stable polymorph in this dataset in meV/atom: 0

***

# 8
Computed, not measured: crystalline CuTe3F at its relaxed geometry at the PBE-GGA level of DFT.

Structure (POSCAR):
```
CuTe3F
1.0
5.038 0.000 0.000
0.000 5.038 0.000
0.000 0.000 5.038
Te F Cu
3 1 1
direct
0.000 0.500 0.000
0.000 0.000 0.500
0.500 0.000 0.000
0.500 0.500 0.500
0.000 0.000 0.000
```

Calculated values
Energy above the most stable polymorph in this dataset in meV/atom: 577